No. 1
{"formula": "CuGeRuO6", "functional": "PBE", "state": "optimized geometry", "e_tot_ev_per_atom": -6.199, "crystal_system": "trigonal", "e_form_raw_mev_per_atom": -894.4, "mass_density_g_cm3": 5.8, "lattice": [[5.0121, 0.0000, 0.0000], [-2.5061, 4.3406, 0.0000], [0.0000, 0.0000, 8.7208]], "species": ["Cu", "Cu", "Ge", "Ge", "Ru", "Ru", "O", "O", "O", "O", "O", "O", "O", "O", "O", "O", "O", "O"], "fractional_positions": [[0.0000, 0.0000, 0.0000], [0.0000, 0.0000, 0.5000], [0.3333, 0.6667, 0.2500], [0.6667, 0.3333, 0.7500], [0.3333, 0.6667, 0.7500], [0.6667, 0.3333, 0.2500], [0.0031, 0.3561, 0.1305], [0.0031, 0.6470, 0.3695], [0.3530, 0.3561, 0.3695], [0.3530, 0.9969, 0.1305], [0.3561, 0.0031, 0.6305], [0.3561, 0.3530, 0.8695], [0.6439, 0.6470, 0.1305], [0.6439, 0.9969, 0.3695], [0.6470, 0.0031, 0.8695], [0.6470, 0.6439, 0.6305], [0.9969, 0.3530, 0.6305], [0.9969, 0.6439, 0.8695]]}

=====

No. 2
{"formula": "CuGe2SbO8", "functional": "PBE", "state": "optimized geometry", "e_tot_ev_per_atom": -5.764, "crystal_system": "tetragonal", "e_form_raw_mev_per_atom": -1004.0, "mass_density_g_cm3": 5.7, "lattice": [[-3.2133, 3.2133, 3.2546], [3.2133, -3.2133, 3.2546], [3.2133, 3.2133, -3.2546]], "species": ["Cu", "Ge", "Ge", "Sb", "O", "O", "O", "O", "O", "O", "O", "O"], "fractional_positions": [[0.0000, 0.0000, 0.0000], [0.2500, 0.7500, 0.5000], [0.5000, 0.5000, 0.0000], [0.7500, 0.2500, 0.5000], [0.0472, 0.3582, 0.3110], [0.0472, 0.7361, 0.6890], [0.1160, 0.3112, 0.8048], [0.2639, 0.9528, 0.3110], [0.5064, 0.3112, 0.1952], [0.6418, 0.9528, 0.6890], [0.6888, 0.4936, 0.8048], [0.6888, 0.8840, 0.1952]]}

=====

No. 3
{"formula": "Sc2CuGeO6", "functional": "PBE", "state": "optimized geometry", "e_tot_ev_per_atom": -7.398, "crystal_system": "triclinic", "e_form_raw_mev_per_atom": -2285.8, "mass_density_g_cm3": 4.8, "lattice": [[5.1144, 0.0000, 0.0000], [2.4837, 4.6318, 0.0000], [0.0180, 2.8041, 4.6763]], "species": ["Sc", "Sc", "Cu", "Ge", "O", "O", "O", "O", "O", "O"], "fractional_positions": [[0.0000, 0.0000, 0.0000], [0.4881, 0.0097, 0.4905], [0.2762, 0.4457, 0.8571], [0.7841, 0.4245, 0.3787], [0.0599, 0.2567, 0.1752], [0.1726, 0.2446, 0.6699], [0.4149, 0.5216, 0.1723], [0.5822, 0.5224, 0.6665], [0.7124, 0.8537, 0.2017], [0.8715, 0.9771, 0.6433]]}

=====

No. 4
{"formula": "Sm2CuGe2O8", "functional": "PBE", "state": "optimized geometry", "e_tot_ev_per_atom": -7.058, "crystal_system": "monoclinic", "e_form_raw_mev_per_atom": -2255.8, "mass_density_g_cm3": 6.3, "lattice": [[4.8903, -7.6555, 0.0000], [4.8903, 7.6555, 0.0000], [-2.6213, 0.0000, 4.4970]], "species": ["Sm", "Sm", "Sm", "Sm", "Cu", "Cu", "Ge", "Ge", "Ge", "Ge", "O", "O", "O", "O", "O", "O", "O", "O", "O", "O", "O", "O", "O", "O", "O", "O"], "fractional_positions": [[0.1207, 0.8793, 0.0000], [0.3812, 0.6233, 0.5360], [0.6233, 0.3812, 0.5360], [0.8793, 0.1207, 0.0000], [0.0904, 0.5033, 0.8383], [0.5033, 0.0904, 0.8383], [0.2729, 0.2729, 0.8459], [0.5336, 0.9561, 0.2860], [0.7612, 0.7612, 0.2290], [0.9561, 0.5336, 0.2860], [0.0784, 0.4219, 0.1378], [0.0945, 0.0945, 0.8623], [0.1524, 0.6705, 0.6458], [0.1908, 0.3777, 0.6508], [0.3304, 0.7961, 0.2739], [0.3777, 0.1908, 0.6508], [0.4219, 0.0784, 0.1378], [0.4285, 0.4285, 0.2255], [0.5829, 0.9280, 0.9650], [0.5966, 0.5966, 0.8643], [0.6705, 0.1524, 0.6458], [0.6713, 0.8554, 0.4494], [0.7961, 0.3304, 0.2739], [0.8554, 0.6713, 0.4494], [0.9280, 0.5829, 0.9650], [0.9309, 0.9309, 0.1876]]}